ZrScCr2 after structural relaxation. Source: Alexandria via LeMat-Bulk, functional GGA-PBE.

a b c (Å): 4.8118 4.8118 5.3178
angles (deg): 102.03 102.03 37.78
Fractional coordinates of all 4 atoms:
1 Zr 0.0000 0.0000 0.0000
2 Sc 0.5000 0.5000 0.5000
3 Cr 0.2515 0.2515 0.7643
4 Cr 0.7485 0.7485 0.2357

- density (g/cm³) = 5.420
- calculated formation energy (kJ/mol of atoms) = 49